a) Here is an optimized crystal structure of Li2HF from Alexandria. Energies are from PBE. Values from VASP.

DOS at the Fermi energy in states/eV/atom: 0.000
Space group: R3m
ρ in g cm⁻³: 1.7

Cell and atoms, written as Quantum ESPRESSO input:
```
&SYSTEM
  ibrav = 0, nat = 4, ntyp = 3
/
ATOMIC_SPECIES
Li 6.94 Li.upf
H 1.01 H.upf
F 19.00 F.upf
ATOMIC_POSITIONS angstrom
Li 0.000 0.000 0.000
Li 0.000 0.000 2.500
H 0.000 0.000 8.675
F 0.000 0.000 6.143
CELL_PARAMETERS angstrom
1.412 0.815 4.923
-1.412 0.815 4.923
0.000 -1.630 4.923
```

=====

b) Here is an optimized crystal structure of Li2HF from Alexandria. Energies are from PBE. Values from VASP.

DOS at the Fermi energy in states/eV/atom: 0.000
Space group: R-3m
ρ in g cm⁻³: 1.2

Cell and atoms, written as Quantum ESPRESSO input:
```
&SYSTEM
  ibrav = 0, nat = 4, ntyp = 3
/
ATOMIC_SPECIES
Li 6.94 Li.upf
H 1.01 H.upf
F 19.00 F.upf
ATOMIC_POSITIONS angstrom
Li 0.000 0.000 1.688
Li 0.000 0.000 15.233
H 0.000 0.000 8.460
F 0.000 0.000 0.000
CELL_PARAMETERS angstrom
1.560 0.901 5.640
-1.560 0.901 5.640
0.000 -1.801 5.640
```

=====

c) Here is an optimized crystal structure of Li2HF from Alexandria. Energies are from PBE. Values from VASP.

DOS at the Fermi energy in states/eV/atom: 0.000
Space group: Pbcm
ρ in g cm⁻³: 1.7

Cell and atoms, written as Quantum ESPRESSO input:
```
&SYSTEM
  ibrav = 0, nat = 16, ntyp = 3
/
ATOMIC_SPECIES
Li 6.94 Li.upf
H 1.01 H.upf
F 19.00 F.upf
ATOMIC_POSITIONS angstrom
Li 0.709 1.220 0.000
Li 0.709 1.220 2.450
Li 2.116 3.661 0.000
Li 2.116 3.661 2.450
Li 3.539 1.220 0.000
Li 3.539 1.220 2.450
Li 4.946 3.661 0.000
Li 4.946 3.661 2.450
H 2.143 0.410 1.225
H 2.143 2.030 3.676
H 3.512 2.851 1.225
H 3.512 4.471 3.676
F 0.701 2.850 1.225
F 0.701 4.472 3.676
F 4.955 0.409 1.225
F 4.955 2.031 3.676
CELL_PARAMETERS angstrom
5.655 0.000 0.000
0.000 4.881 0.000
0.000 0.000 4.901
```

=====

d) Here is an optimized crystal structure of Li2HF from Alexandria. Energies are from PBE. Values from VASP.

DOS at the Fermi energy in states/eV/atom: 0.000
Space group: P4/mmm
ρ in g cm⁻³: 1.7

Cell and atoms, written as Quantum ESPRESSO input:
```
&SYSTEM
  ibrav = 0, nat = 4, ntyp = 3
/
ATOMIC_SPECIES
Li 6.94 Li.upf
H 1.01 H.upf
F 19.00 F.upf
ATOMIC_POSITIONS angstrom
Li 0.000 0.000 0.000
Li 1.434 1.434 2.036
H 0.000 0.000 2.036
F 1.434 1.434 0.000
CELL_PARAMETERS angstrom
2.868 0.000 0.000
0.000 2.868 0.000
0.000 0.000 4.072
```

=====

Verdict on stability: b) comes out at the bottom.

=====

a) Here is an optimized crystal structure of LiH3F from Alexandria. Energies are from PBE. Values from VASP.

DOS at the Fermi energy in states/eV/atom: 0.495
Space group: Pm-3m
ρ in g cm⁻³: 1.1

Cell and atoms, written as Quantum ESPRESSO input:
```
&SYSTEM
  ibrav = 0, nat = 5, ntyp = 3
/
ATOMIC_SPECIES
Li 6.94 Li.upf
H 1.01 H.upf
F 19.00 F.upf
ATOMIC_POSITIONS angstrom
Li 0.000 0.000 0.000
H 0.000 1.786 1.786
H 1.786 0.000 1.786
H 1.786 1.786 0.000
F 1.786 1.786 1.786
CELL_PARAMETERS angstrom
3.573 0.000 0.000
0.000 3.573 0.000
0.000 0.000 3.573
```

=====

b) Here is an optimized crystal structure of LiH3F from Alexandria. Energies are from PBE. Values from VASP.

DOS at the Fermi energy in states/eV/atom: 0.201
Space group: Pm-3m
ρ in g cm⁻³: 1.0

Cell and atoms, written as Quantum ESPRESSO input:
```
&SYSTEM
  ibrav = 0, nat = 5, ntyp = 3
/
ATOMIC_SPECIES
Li 6.94 Li.upf
H 1.01 H.upf
F 19.00 F.upf
ATOMIC_POSITIONS angstrom
Li 0.000 0.000 0.000
H 0.000 0.000 1.798
H 0.000 1.798 0.000
H 1.798 0.000 0.000
F 1.798 1.798 1.798
CELL_PARAMETERS angstrom
3.595 0.000 0.000
0.000 3.595 0.000
0.000 0.000 3.595
```

=====

Verdict on stability: b) comes out at the bottom.

=====

a) Here is an optimized crystal structure of Li4HF2 from Alexandria. Energies are from PBE. Values from VASP.

DOS at the Fermi energy in states/eV/atom: 0.122
Space group: I4/mmm
ρ in g cm⁻³: 1.3

Cell and atoms, written as Quantum ESPRESSO input:
```
&SYSTEM
  ibrav = 0, nat = 7, ntyp = 3
/
ATOMIC_SPECIES
Li 6.94 Li.upf
H 1.01 H.upf
F 19.00 F.upf
ATOMIC_POSITIONS angstrom
Li 1.669 0.000 0.000
Li 0.000 0.000 2.357
Li 0.000 1.669 0.000
Li 0.000 0.000 12.497
H 0.000 0.000 0.000
F 0.000 0.000 6.128
F 0.000 0.000 8.726
CELL_PARAMETERS angstrom
-1.669 1.669 7.427
1.669 -1.669 7.427
1.669 1.669 -7.427
```

=====

b) Here is an optimized crystal structure of Li4HF2 from Alexandria. Energies are from PBE. Values from VASP.

DOS at the Fermi energy in states/eV/atom: 0.263
Space group: I4/mmm
ρ in g cm⁻³: 1.4

Cell and atoms, written as Quantum ESPRESSO input:
```
&SYSTEM
  ibrav = 0, nat = 7, ntyp = 3
/
ATOMIC_SPECIES
Li 6.94 Li.upf
H 1.01 H.upf
F 19.00 F.upf
ATOMIC_POSITIONS angstrom
Li 1.890 0.000 0.000
Li 0.000 0.000 2.190
Li 0.000 1.890 0.000
Li 0.000 0.000 8.526
H 0.000 0.000 0.000
F 0.000 0.000 4.059
F 0.000 0.000 6.658
CELL_PARAMETERS angstrom
-1.890 1.890 5.358
1.890 -1.890 5.358
1.890 1.890 -5.358
```

=====

Verdict on stability: b) comes out at the bottom.

=====

a) Here is an optimized crystal structure of LiHNF2 from Alexandria. Energies are from PBE. Values from VASP.

DOS at the Fermi energy in states/eV/atom: 0.526
Space group: P4/mmm
ρ in g cm⁻³: 2.4

Cell and atoms, written as Quantum ESPRESSO input:
```
&SYSTEM
  ibrav = 0, nat = 5, ntyp = 4
/
ATOMIC_SPECIES
Li 6.94 Li.upf
H 1.01 H.upf
N 14.01 N.upf
F 19.00 F.upf
ATOMIC_POSITIONS angstrom
Li 0.000 0.000 0.000
H 1.995 1.995 1.287
N 1.995 1.995 0.000
F 0.000 1.995 1.287
F 1.995 0.000 1.287
CELL_PARAMETERS angstrom
3.990 0.000 0.000
0.000 3.990 0.000
0.000 0.000 2.574
```

=====

b) Here is an optimized crystal structure of LiHNF2 from Alexandria. Energies are from PBE. Values from VASP.

DOS at the Fermi energy in states/eV/atom: 0.656
Space group: P4/mmm
ρ in g cm⁻³: 1.6

Cell and atoms, written as Quantum ESPRESSO input:
```
&SYSTEM
  ibrav = 0, nat = 5, ntyp = 4
/
ATOMIC_SPECIES
Li 6.94 Li.upf
H 1.01 H.upf
N 14.01 N.upf
F 19.00 F.upf
ATOMIC_POSITIONS angstrom
Li 0.000 0.000 0.000
H 1.867 1.867 2.181
N 0.000 0.000 2.181
F 0.000 1.867 0.000
F 1.867 0.000 0.000
CELL_PARAMETERS angstrom
3.734 0.000 0.000
0.000 3.734 0.000
0.000 0.000 4.361
```

=====

Verdict on stability: b) comes out at the bottom.

=====

a) Here is an optimized crystal structure of LiHN2F from Alexandria. Energies are from PBE. Values from VASP.

DOS at the Fermi energy in states/eV/atom: 0.147
Space group: P4/mmm
ρ in g cm⁻³: 1.9

Cell and atoms, written as Quantum ESPRESSO input:
```
&SYSTEM
  ibrav = 0, nat = 5, ntyp = 4
/
ATOMIC_SPECIES
Li 6.94 Li.upf
H 1.01 H.upf
N 14.01 N.upf
F 19.00 F.upf
ATOMIC_POSITIONS angstrom
Li 0.000 0.000 0.000
H 1.364 1.364 3.242
N 0.000 1.364 3.242
N 1.364 0.000 3.242
F 1.364 1.364 0.000
CELL_PARAMETERS angstrom
2.728 0.000 0.000
0.000 2.728 0.000
0.000 0.000 6.485
```

=====

b) Here is an optimized crystal structure of LiHN2F from Alexandria. Energies are from PBE. Values from VASP.

DOS at the Fermi energy in states/eV/atom: 0.000
Space group: P4/mmm
ρ in g cm⁻³: 1.2

Cell and atoms, written as Quantum ESPRESSO input:
```
&SYSTEM
  ibrav = 0, nat = 5, ntyp = 4
/
ATOMIC_SPECIES
Li 6.94 Li.upf
H 1.01 H.upf
N 14.01 N.upf
F 19.00 F.upf
ATOMIC_POSITIONS angstrom
Li 0.000 0.000 0.000
H 2.340 2.340 1.735
N 0.000 2.340 0.000
N 2.340 0.000 0.000
F 0.000 0.000 1.735
CELL_PARAMETERS angstrom
4.681 0.000 0.000
0.000 4.681 0.000
0.000 0.000 3.469
```

=====

Verdict on stability: b) comes out at the bottom.

=====

a) Here is an optimized crystal structure of LiHOF2 from Alexandria. Energies are from PBE. Values from VASP.

DOS at the Fermi energy in states/eV/atom: 0.098
Space group: P4/mmm
ρ in g cm⁻³: 2.5

Cell and atoms, written as Quantum ESPRESSO input:
```
&SYSTEM
  ibrav = 0, nat = 5, ntyp = 4
/
ATOMIC_SPECIES
Li 6.94 Li.upf
H 1.01 H.upf
O 16.00 O.upf
F 19.00 F.upf
ATOMIC_POSITIONS angstrom
Li 0.000 0.000 0.000
H 2.010 2.010 1.268
O 2.010 2.010 0.000
F 0.000 2.010 1.268
F 2.010 0.000 1.268
CELL_PARAMETERS angstrom
4.020 0.000 0.000
0.000 4.020 0.000
0.000 0.000 2.537
```

=====

b) Here is an optimized crystal structure of LiHOF2 from Alexandria. Energies are from PBE. Values from VASP.

DOS at the Fermi energy in states/eV/atom: 0.650
Space group: P4/mmm
ρ in g cm⁻³: 1.9

Cell and atoms, written as Quantum ESPRESSO input:
```
&SYSTEM
  ibrav = 0, nat = 5, ntyp = 4
/
ATOMIC_SPECIES
Li 6.94 Li.upf
H 1.01 H.upf
O 16.00 O.upf
F 19.00 F.upf
ATOMIC_POSITIONS angstrom
Li 0.000 0.000 0.000
H 1.873 1.873 1.947
O 0.000 0.000 1.947
F 0.000 1.873 0.000
F 1.873 0.000 0.000
CELL_PARAMETERS angstrom
3.747 0.000 0.000
0.000 3.747 0.000
0.000 0.000 3.894
```

=====

Verdict on stability: b) comes out at the bottom.